# 1
{
  "formula": "PbC2",
  "functional": "PBE",
  "state": "optimized geometry",
  "spacegroup": "No. 123",
  "total_energy_ha_per_atom": -0.1735,
  "e_above_lowest_polymorph_mev_per_atom": 2282,
  "formation_energy_mev_per_atom": 2664,
  "magmom_total_mub_per_cell": 0.00,
  "lattice": [[-1.600, 0.141, 2.283], [1.627, -1.888, 1.257], [2.958, 3.773, 1.840]],
  "species": ["Pb", "C", "C"],
  "frac_coords": [[0.000, 0.000, 0.000], [0.000, 0.500, 0.500], [0.500, 0.000, 0.500]]
}

# 2
{
  "formula": "PbC5",
  "functional": "PBE",
  "state": "optimized geometry",
  "spacegroup": "No. 216",
  "total_energy_ha_per_atom": -0.1937,
  "e_above_lowest_polymorph_mev_per_atom": 1999,
  "formation_energy_mev_per_atom": 3033,
  "magmom_total_mub_per_cell": 0.00,
  "lattice": [[0.523, 2.077, 4.174], [-3.686, 2.002, 2.102], [-1.856, -1.953, 3.841]],
  "species": ["C", "C", "C", "C", "C", "Pb"],
  "frac_coords": [[0.584, 0.584, 0.249], [0.249, 0.584, 0.584], [0.584, 0.249, 0.584], [0.250, 0.250, 0.250], [0.584, 0.584, 0.584], [0.000, 0.000, 0.000]]
}

# 3
{
  "formula": "PbC2",
  "functional": "PBE",
  "state": "optimized geometry",
  "spacegroup": "No. 8",
  "total_energy_ha_per_atom": -0.2367,
  "e_above_lowest_polymorph_mev_per_atom": 562,
  "formation_energy_mev_per_atom": 944,
  "magmom_total_mub_per_cell": 0.00,
  "lattice": [[8.254, 0.000, 0.010], [0.000, 3.749, 0.000], [-1.323, 0.000, 6.463]],
  "species": ["C", "C", "C", "C", "C", "C", "C", "C", "Pb", "Pb", "Pb", "Pb"],
  "frac_coords": [[0.937, 0.500, 0.215], [0.763, 0.000, 0.675], [0.937, 0.000, 0.715], [0.668, 0.675, 0.665], [0.763, 0.500, 0.175], [0.668, 0.825, 0.165], [0.668, 0.325, 0.665], [0.668, 0.175, 0.165], [0.434, 0.500, 0.302], [0.070, 0.000, 0.412], [0.434, 0.000, 0.802], [0.070, 0.500, 0.912]]
}

# 4
{
  "formula": "PbC2",
  "functional": "PBE",
  "state": "optimized geometry",
  "spacegroup": "No. 2",
  "total_energy_ha_per_atom": -0.2366,
  "e_above_lowest_polymorph_mev_per_atom": 565,
  "formation_energy_mev_per_atom": 946,
  "magmom_total_mub_per_cell": 0.00,
  "lattice": [[-0.419, -3.602, -0.539], [5.080, -0.553, -0.643], [-1.515, 1.146, 6.590]],
  "species": ["C", "C", "C", "C", "Pb", "Pb"],
  "frac_coords": [[0.644, 0.324, 0.275], [0.452, 0.893, 0.908], [0.356, 0.676, 0.725], [0.548, 0.107, 0.092], [0.177, 0.674, 0.354], [0.823, 0.326, 0.646]]
}

# 5
{
  "formula": "Pb4C5",
  "functional": "PBE",
  "state": "optimized geometry",
  "spacegroup": "No. 193",
  "total_energy_ha_per_atom": -0.1611,
  "formation_energy_mev_per_atom": 2388,
  "magmom_total_mub_per_cell": 0.00,
  "lattice": [[-0.015, 6.021, 3.758], [-3.057, -5.838, 2.638], [5.971, -1.808, 2.920]],
  "species": ["Pb", "Pb", "Pb", "Pb", "Pb", "Pb", "Pb", "Pb", "C", "C", "C", "C", "C", "C", "C", "C", "C", "C"],
  "frac_coords": [[0.434, 0.434, 0.250], [0.434, 0.000, 0.750], [0.000, 0.000, 0.500], [0.000, 0.566, 0.250], [0.000, 0.000, 0.000], [0.566, 0.000, 0.250], [0.566, 0.566, 0.750], [0.000, 0.434, 0.750], [0.000, 0.767, 0.750], [0.767, 0.000, 0.750], [0.233, 0.000, 0.250], [0.667, 0.333, 0.500], [0.000, 0.233, 0.250], [0.333, 0.667, 0.000], [0.233, 0.233, 0.750], [0.667, 0.333, 0.000], [0.767, 0.767, 0.250], [0.333, 0.667, 0.500]]
}

# 6
{
  "formula": "Pb3C",
  "functional": "PBE",
  "state": "optimized geometry",
  "spacegroup": "No. 225",
  "total_energy_ha_per_atom": -0.1349,
  "e_above_lowest_polymorph_mev_per_atom": 717,
  "formation_energy_mev_per_atom": 1417,
  "magmom_total_mub_per_cell": 0.00,
  "lattice": [[-4.191, 0.516, -3.096], [-0.995, -3.589, -3.680], [-4.071, -3.247, 0.543]],
  "species": ["Pb", "Pb", "Pb", "C"],
  "frac_coords": [[0.250, 0.250, 0.250], [0.500, 0.500, 0.500], [0.750, 0.750, 0.750], [0.000, 0.000, 0.000]]
}

# 7
{
  "formula": "PbC2",
  "functional": "PBE",
  "state": "optimized geometry",
  "spacegroup": "No. 141",
  "total_energy_ha_per_atom": -0.2138,
  "e_above_lowest_polymorph_mev_per_atom": 1185,
  "formation_energy_mev_per_atom": 1567,
  "magmom_total_mub_per_cell": 0.00,
  "lattice": [[1.162, -1.165, 6.596], [0.631, 4.375, 5.165], [-3.727, -1.754, -5.408]],
  "species": ["Pb", "Pb", "C", "C", "C", "C"],
  "frac_coords": [[0.000, 0.000, 0.000], [0.750, 0.250, 0.500], [0.198, 0.698, 0.500], [0.302, 0.802, 0.500], [0.448, 0.448, 0.000], [0.552, 0.552, 0.000]]
}

# 8
{
  "formula": "PbC2",
  "functional": "PBE",
  "state": "optimized geometry",
  "spacegroup": "No. 8",
  "total_energy_ha_per_atom": -0.2574,
  "e_above_lowest_polymorph_mev_per_atom": 0,
  "formation_energy_mev_per_atom": 382,
  "magmom_total_mub_per_cell": 0.00,
  "lattice": [[-8.211, 4.878, -3.741], [-2.913, -2.887, 2.629], [0.304, 3.102, 3.744]],
  "species": ["C", "C", "C", "C", "C", "C", "C", "C", "Pb", "Pb", "Pb", "Pb"],
  "frac_coords": [[0.246, 0.350, 0.672], [0.246, 0.150, 0.472], [0.246, 0.650, 0.672], [0.246, 0.350, 0.972], [0.246, 0.850, 0.172], [0.246, 0.150, 0.172], [0.246, 0.850, 0.472], [0.246, 0.650, 0.972], [0.620, 0.000, 0.833], [0.857, 0.000, 0.347], [0.620, 0.500, 0.333], [0.857, 0.500, 0.847]]
}

# 9
{
  "formula": "PbC2",
  "functional": "PBE",
  "state": "optimized geometry",
  "spacegroup": "No. 191",
  "total_energy_ha_per_atom": -0.2285,
  "e_above_lowest_polymorph_mev_per_atom": 786,
  "formation_energy_mev_per_atom": 1168,
  "magmom_total_mub_per_cell": 0.00,
  "lattice": [[-2.496, -1.060, 0.451], [1.889, -0.033, 1.998], [-2.867, 7.959, 2.842]],
  "species": ["Pb", "C", "C"],
  "frac_coords": [[0.000, 0.000, 0.000], [0.667, 0.333, 0.500], [0.333, 0.667, 0.500]]
}

# 10
{
  "formula": "PbC2",
  "functional": "PBE",
  "state": "optimized geometry",
  "spacegroup": "No. 187",
  "total_energy_ha_per_atom": -0.2247,
  "e_above_lowest_polymorph_mev_per_atom": 889,
  "formation_energy_mev_per_atom": 1271,
  "magmom_total_mub_per_cell": 0.00,
  "lattice": [[-0.250, 2.301, -2.917], [1.767, -3.260, -0.346], [-3.826, -1.946, -1.206]],
  "species": ["Pb", "C", "C"],
  "frac_coords": [[0.333, 0.667, 0.500], [0.000, 0.000, 0.142], [0.000, 0.000, 0.858]]
}

# 11
{
  "formula": "PbC2",
  "functional": "PBE",
  "state": "optimized geometry",
  "spacegroup": "No. 136",
  "total_energy_ha_per_atom": -0.1523,
  "e_above_lowest_polymorph_mev_per_atom": 2858,
  "formation_energy_mev_per_atom": 3240,
  "magmom_total_mub_per_cell": 2.88,
  "lattice": [[5.406, 0.000, 0.000], [0.000, 5.406, 0.000], [0.000, 0.000, 3.725]],
  "species": ["C", "C", "C", "C", "Pb", "Pb"],
  "frac_coords": [[0.815, 0.815, 0.000], [0.685, 0.315, 0.500], [0.185, 0.185, 0.000], [0.315, 0.685, 0.500], [0.500, 0.500, 0.000], [0.000, 0.000, 0.500]]
}

# 12
{
  "formula": "PdPbC",
  "functional": "PBE",
  "state": "optimized geometry",
  "spacegroup": "No. 6",
  "total_energy_ha_per_atom": -0.2059,
  "e_above_lowest_polymorph_mev_per_atom": 83,
  "formation_energy_mev_per_atom": 438,
  "magmom_total_mub_per_cell": 0.00,
  "lattice": [[-0.563, 4.613, -2.607], [-0.144, -1.980, -3.473], [-5.411, -1.483, 1.070]],
  "species": ["Pb", "Pb", "C", "C", "Pd", "Pd"],
  "frac_coords": [[0.029, 0.500, 0.326], [0.577, 0.000, 0.491], [0.891, 0.500, 0.843], [0.139, 0.500, 0.863], [0.515, 0.500, 0.839], [0.232, 0.000, 0.044]]
}

no.,D(E_F) (states/eV per cell)
1,1.57
2,1.07
3,2.03
4,2.06
5,11.47
6,3.26
7,0.00
8,2.87
9,1.10
10,0.43
11,4.11
12,2.94